## CaCd4Re (PBE)

Data for a relaxed structure of CaCd4Re.

```
data_CaCd4Re
_chemical_formula_sum 'Ca4 Cd16 Re4'
_symmetry_space_group_name_H-M 'F -4 3 m'
_symmetry_Int_Tables_number 216
_symmetry_space_group_name_Hall 'F -4 2 3'
_cell_length_a 8.0329
_cell_length_b 8.0329
_cell_length_c 8.0329
_cell_angle_alpha 90.00
_cell_angle_beta 90.00
_cell_angle_gamma 90.00
loop_
_atom_site_label
_atom_site_fract_x
_atom_site_fract_y
_atom_site_fract_z
Ca1 0.0000 0.0000 0.0000
Cd1 0.1242 0.1242 0.6242
Re1 0.2500 0.2500 0.2500
```

Values from the calculation:
- energy of formation from the pure elements (meV/atom) = 424
- total energy (eV per atom) = -2.59
- magnetic moment (μB per formula unit) = 2.7

## NiW (PBE)

Data for a relaxed structure of NiW.

```
data_NiW
_chemical_formula_sum 'Ni6 W6'
_symmetry_space_group_name_H-M 'C 1 m 1'
_symmetry_Int_Tables_number 8
_symmetry_space_group_name_Hall 'C -2y'
_cell_length_a 9.9185
_cell_length_b 2.6377
_cell_length_c 6.4544
_cell_angle_alpha 90.00
_cell_angle_beta 105.20
_cell_angle_gamma 90.00
loop_
_atom_site_label
_atom_site_fract_x
_atom_site_fract_y
_atom_site_fract_z
Ni1 0.0000 0.0000 0.0000
Ni2 0.0628 0.0000 0.6108
Ni3 0.1724 0.5000 0.3387
W1 0.2116 0.5000 0.9466
W2 0.3405 0.0000 0.6654
W3 0.4039 0.0000 0.2833
```

Values from the calculation:
- energy of formation from the pure elements (meV/atom) = 80
- total energy (eV per atom) = -9.29
- magnetic moment (μB per formula unit) = 0.0

## LiUPa2N4 (PBE)

Data for a relaxed structure of LiUPa2N4.

```
data_LiUPa2N4
_chemical_formula_sum 'Li1 U1 Pa2 N4'
_symmetry_space_group_name_H-M 'P 1 2/m 1'
_symmetry_Int_Tables_number 10
_symmetry_space_group_name_Hall '-P 2y'
_cell_length_a 5.8026
_cell_length_b 3.4832
_cell_length_c 5.8931
_cell_angle_alpha 90.00
_cell_angle_beta 107.90
_cell_angle_gamma 90.00
loop_
_atom_site_label
_atom_site_fract_x
_atom_site_fract_y
_atom_site_fract_z
Li1 0.0000 0.0000 0.0000
U1 0.5000 0.5000 0.0000
Pa1 0.0000 0.5000 0.5000
Pa2 0.5000 0.0000 0.5000
N1 0.2533 0.0000 0.7631
N2 0.2714 0.5000 0.2581
```

Values from the calculation:
- total energy (eV per atom) = -9.45
- raw formation energy (meV per atom) = -1263.0
- magnetic moment (μB per formula unit) = 0.8

## MgAg4Ge (PBE)

Data for a relaxed structure of MgAg4Ge.

```
data_MgAg4Ge
_chemical_formula_sum 'Mg4 Ag16 Ge4'
_symmetry_space_group_name_H-M 'F -4 3 m'
_symmetry_Int_Tables_number 216
_symmetry_space_group_name_Hall 'F -4 2 3'
_cell_length_a 7.7802
_cell_length_b 7.7802
_cell_length_c 7.7802
_cell_angle_alpha 90.00
_cell_angle_beta 90.00
_cell_angle_gamma 90.00
loop_
_atom_site_label
_atom_site_fract_x
_atom_site_fract_y
_atom_site_fract_z
Mg1 0.0000 0.0000 0.0000
Ag1 0.1251 0.1251 0.3749
Ge1 0.2500 0.2500 0.7500
```

Values from the calculation:
- energy of formation from the pure elements (meV/atom) = 76
- total energy (eV per atom) = -2.86
- energy relative to the lowest polymorph listed for this composition (meV per atom) = 48
- magnetic moment (μB per formula unit) = 0.0

## Te2PtAu (PBE)

Data for a relaxed structure of Te2PtAu.

```
data_Te2PtAu
_chemical_formula_sum 'Te2 Pt1 Au1'
_symmetry_space_group_name_H-M 'P 4/m m m'
_symmetry_Int_Tables_number 123
_symmetry_space_group_name_Hall '-P 4 2'
_cell_length_a 4.8447
_cell_length_b 4.8447
_cell_length_c 3.6902
_cell_angle_alpha 90.00
_cell_angle_beta 90.00
_cell_angle_gamma 90.00
loop_
_atom_site_label
_atom_site_fract_x
_atom_site_fract_y
_atom_site_fract_z
Te1 0.0000 0.5000 0.0000
Pt1 0.0000 0.0000 0.5000
Au1 0.5000 0.5000 0.5000
```

Values from the calculation:
- total energy (eV per atom) = -3.59
- raw formation energy (meV per atom) = 310.0
- magnetic moment (μB per formula unit) = 0.0

## TlRh2 (PBE)

Data for a relaxed structure of TlRh2.

```
data_TlRh2
_chemical_formula_sum 'Tl1 Rh2'
_symmetry_space_group_name_H-M 'P 4/m m m'
_symmetry_Int_Tables_number 123
_symmetry_space_group_name_Hall '-P 4 2'
_cell_length_a 3.6841
_cell_length_b 3.6841
_cell_length_c 4.4011
_cell_angle_alpha 90.00
_cell_angle_beta 90.00
_cell_angle_gamma 90.00
loop_
_atom_site_label
_atom_site_fract_x
_atom_site_fract_y
_atom_site_fract_z
Tl1 0.0000 0.0000 0.0000
Rh1 0.0000 0.5000 0.5000
```

Values from the calculation:
- energy of formation from the pure elements (meV/atom) = 443
- total energy (eV per atom) = -5.25
- energy relative to the lowest polymorph listed for this composition (meV per atom) = 267
- magnetic moment (μB per formula unit) = 1.0

## RbPdBr3 (PBE)

Data for a relaxed structure of RbPdBr3.

```
data_RbPdBr3
_chemical_formula_sum 'Rb6 Pd6 Br18'
_symmetry_space_group_name_H-M 'R -3'
_symmetry_Int_Tables_number 148
_symmetry_space_group_name_Hall '-R 3'
_cell_length_a 7.2330
_cell_length_b 7.2330
_cell_length_c 22.7484
_cell_angle_alpha 90.00
_cell_angle_beta 90.00
_cell_angle_gamma 120.00
loop_
_atom_site_label
_atom_site_fract_x
_atom_site_fract_y
_atom_site_fract_z
Rb1 0.0000 0.0000 0.1488
Pd1 0.0000 0.0000 0.3338
Br1 0.0018 0.3815 0.9342
```

Values from the calculation:
- total energy (eV per atom) = -2.97
- raw formation energy (meV per atom) = -735.4
- magnetic moment (μB per formula unit) = 2.0

## Mn2SiP (PBE)

Data for a relaxed structure of Mn2SiP.

```
data_Mn2SiP
_chemical_formula_sum 'Mn2 Si1 P1'
_symmetry_space_group_name_H-M 'P 1 2/m 1'
_symmetry_Int_Tables_number 10
_symmetry_space_group_name_Hall '-P 2y'
_cell_length_a 2.7787
_cell_length_b 2.7835
_cell_length_c 5.5896
_cell_angle_alpha 90.00
_cell_angle_beta 90.20
_cell_angle_gamma 90.00
loop_
_atom_site_label
_atom_site_fract_x
_atom_site_fract_y
_atom_site_fract_z
Mn1 0.0010 0.0000 0.2600
Si1 0.5000 0.5000 0.0000
P1 0.5000 0.5000 0.5000
```

Values from the calculation:
- total energy (eV per atom) = -7.63
- raw formation energy (meV per atom) = -336.9
- magnetic moment (μB per formula unit) = 0.0

## NaLiHPd2 (PBE)

Data for a relaxed structure of NaLiHPd2.

```
data_NaLiHPd2
_chemical_formula_sum 'Na1 Li1 H1 Pd2'
_symmetry_space_group_name_H-M 'P 4/m m m'
_symmetry_Int_Tables_number 123
_symmetry_space_group_name_Hall '-P 4 2'
_cell_length_a 3.9510
_cell_length_b 3.9510
_cell_length_c 4.3924
_cell_angle_alpha 90.00
_cell_angle_beta 90.00
_cell_angle_gamma 90.00
loop_
_atom_site_label
_atom_site_fract_x
_atom_site_fract_y
_atom_site_fract_z
Na1 0.0000 0.0000 0.0000
Li1 0.5000 0.5000 0.0000
H1 0.0000 0.0000 0.5000
Pd1 0.0000 0.5000 0.5000
```

Values from the calculation:
- total energy (eV per atom) = -3.61
- energy relative to the lowest polymorph listed for this composition (meV per atom) = 26
- magnetic moment (μB per formula unit) = 0.0

## SrSc2Cr (PBE)

Data for a relaxed structure of SrSc2Cr.

```
data_SrSc2Cr
_chemical_formula_sum 'Sr1 Sc2 Cr1'
_symmetry_space_group_name_H-M 'P 1 2/m 1'
_symmetry_Int_Tables_number 10
_symmetry_space_group_name_Hall '-P 2y'
_cell_length_a 5.2376
_cell_length_b 3.8515
_cell_length_c 5.2748
_cell_angle_alpha 90.00
_cell_angle_beta 90.07
_cell_angle_gamma 90.00
loop_
_atom_site_label
_atom_site_fract_x
_atom_site_fract_y
_atom_site_fract_z
Sr1 0.0000 0.0000 0.0000
Sc1 0.0000 0.5000 0.5000
Sc2 0.5000 0.0000 0.5000
Cr1 0.5000 0.5000 0.0000
```

Values from the calculation:
- energy of formation from the pure elements (meV/atom) = 560
- total energy (eV per atom) = -5.43
- energy relative to the lowest polymorph listed for this composition (meV per atom) = 264
- magnetic moment (μB per formula unit) = 4.2

## SrHfMn2Pb (PBE)

Data for a relaxed structure of SrHfMn2Pb.

```
data_SrHfMn2Pb
_chemical_formula_sum 'Sr1 Hf1 Mn2 Pb1'
_symmetry_space_group_name_H-M 'P 4/m m m'
_symmetry_Int_Tables_number 123
_symmetry_space_group_name_Hall '-P 4 2'
_cell_length_a 5.0475
_cell_length_b 5.0475
_cell_length_c 5.6358
_cell_angle_alpha 90.00
_cell_angle_beta 90.00
_cell_angle_gamma 90.00
loop_
_atom_site_label
_atom_site_fract_x
_atom_site_fract_y
_atom_site_fract_z
Sr1 0.0000 0.0000 0.0000
Hf1 0.5000 0.5000 0.5000
Mn1 0.0000 0.5000 0.5000
Pb1 0.5000 0.5000 0.0000
```

Values from the calculation:
- energy of formation from the pure elements (meV/atom) = 641
- total energy (eV per atom) = -6.10
- magnetic moment (μB per formula unit) = 7.1

## YMnOs (PBE)

Data for a relaxed structure of YMnOs.

```
data_YMnOs
_chemical_formula_sum 'Y4 Mn4 Os4'
_symmetry_space_group_name_H-M 'I m m a'
_symmetry_Int_Tables_number 74
_symmetry_space_group_name_Hall '-I 2b 2'
_cell_length_a 5.2167
_cell_length_b 5.3531
_cell_length_c 7.5814
_cell_angle_alpha 90.00
_cell_angle_beta 90.00
_cell_angle_gamma 90.00
loop_
_atom_site_label
_atom_site_fract_x
_atom_site_fract_y
_atom_site_fract_z
Y1 0.0000 0.2500 0.1227
Mn1 0.0000 0.0000 0.5000
Os1 0.2500 0.2500 0.7500
```

Values from the calculation:
- energy of formation from the pure elements (meV/atom) = -199
- total energy (eV per atom) = -9.15
- energy relative to the lowest polymorph listed for this composition (meV per atom) = 0
- magnetic moment (μB per formula unit) = 2.4

## Cr3CS (PBE)

Data for a relaxed structure of Cr3CS.

```
data_Cr3CS
_chemical_formula_sum 'Cr3 C1 S1'
_symmetry_space_group_name_H-M 'P m -3 m'
_symmetry_Int_Tables_number 221
_symmetry_space_group_name_Hall '-P 4 2 3'
_cell_length_a 3.8634
_cell_length_b 3.8634
_cell_length_c 3.8634
_cell_angle_alpha 90.00
_cell_angle_beta 90.00
_cell_angle_gamma 90.00
loop_
_atom_site_label
_atom_site_fract_x
_atom_site_fract_y
_atom_site_fract_z
Cr1 0.0000 0.0000 0.5000
C1 0.0000 0.0000 0.0000
S1 0.5000 0.5000 0.5000
```

Values from the calculation:
- total energy (eV per atom) = -8.11
- energy relative to the lowest polymorph listed for this composition (meV per atom) = 0
- raw formation energy (meV per atom) = 339.1
- magnetic moment (μB per formula unit) = 3.2

## Np2SnIr (PBE)

Data for a relaxed structure of Np2SnIr.

```
data_Np2SnIr
_chemical_formula_sum 'Np6 Sn3 Ir3'
_symmetry_space_group_name_H-M 'R -3 m'
_symmetry_Int_Tables_number 166
_symmetry_space_group_name_Hall '-R 3 2"'
_cell_length_a 3.9375
_cell_length_b 3.9375
_cell_length_c 23.2062
_cell_angle_alpha 90.00
_cell_angle_beta 90.00
_cell_angle_gamma 120.00
loop_
_atom_site_label
_atom_site_fract_x
_atom_site_fract_y
_atom_site_fract_z
Np1 0.0000 0.0000 0.2347
Sn1 0.0000 0.0000 0.0000
Ir1 0.0000 0.0000 0.5000
```

Values from the calculation:
- energy of formation from the pure elements (meV/atom) = 32
- total energy (eV per atom) = -9.65
- energy relative to the lowest polymorph listed for this composition (meV per atom) = 152
- magnetic moment (μB per formula unit) = 7.8

## YLuTe3 (PBE)

Data for a relaxed structure of YLuTe3.

```
data_YLuTe3
_chemical_formula_sum 'Y4 Lu4 Te12'
_symmetry_space_group_name_H-M 'I -4 m 2'
_symmetry_Int_Tables_number 119
_symmetry_space_group_name_Hall 'I -4 -2'
_cell_length_a 5.9640
_cell_length_b 5.9640
_cell_length_c 21.0472
_cell_angle_alpha 90.00
_cell_angle_beta 90.00
_cell_angle_gamma 90.00
loop_
_atom_site_label
_atom_site_fract_x
_atom_site_fract_y
_atom_site_fract_z
Y1 0.0000 0.0000 0.0846
Lu1 0.0000 0.0000 0.5000
Lu2 0.0000 0.5000 0.2500
Te1 0.0000 0.2453 0.3667
Te2 0.0000 0.5000 0.5342
```

Values from the calculation:
- total energy (eV per atom) = -4.79
- energy relative to the lowest polymorph listed for this composition (meV per atom) = 678
- raw formation energy (meV per atom) = -712.6
- magnetic moment (μB per formula unit) = 0.0

## PmHo2Pu (PBE)

Data for a relaxed structure of PmHo2Pu.

```
data_PmHo2Pu
_chemical_formula_sum 'Pm1 Ho2 Pu1'
_symmetry_space_group_name_H-M 'P 4/m m m'
_symmetry_Int_Tables_number 123
_symmetry_space_group_name_Hall '-P 4 2'
_cell_length_a 5.7956
_cell_length_b 5.7956
_cell_length_c 3.7009
_cell_angle_alpha 90.00
_cell_angle_beta 90.00
_cell_angle_gamma 90.00
loop_
_atom_site_label
_atom_site_fract_x
_atom_site_fract_y
_atom_site_fract_z
Pm1 0.0000 0.0000 0.0000
Ho1 0.0000 0.5000 0.5000
Pu1 0.5000 0.5000 0.0000
```

Values from the calculation:
- energy of formation from the pure elements (meV/atom) = 191
- total energy (eV per atom) = -6.87
- energy relative to the lowest polymorph listed for this composition (meV per atom) = 92
- magnetic moment (μB per formula unit) = 6.9

## Ba2RePb (PBE)

Data for a relaxed structure of Ba2RePb.

```
data_Ba2RePb
_chemical_formula_sum 'Ba4 Re2 Pb2'
_symmetry_space_group_name_H-M 'I m m 2'
_symmetry_Int_Tables_number 44
_symmetry_space_group_name_Hall 'I 2 -2'
_cell_length_a 3.9476
_cell_length_b 5.7446
_cell_length_c 11.6770
_cell_angle_alpha 90.00
_cell_angle_beta 90.00
_cell_angle_gamma 90.00
loop_
_atom_site_label
_atom_site_fract_x
_atom_site_fract_y
_atom_site_fract_z
Ba1 0.0000 0.0000 0.0000
Ba2 0.0000 0.5000 0.1883
Re1 0.0000 0.0000 0.4531
Pb1 0.0000 0.5000 0.7918
```

Values from the calculation:
- energy of formation from the pure elements (meV/atom) = 566
- total energy (eV per atom) = -4.43
- magnetic moment (μB per formula unit) = 0.0

## SrLa2MgPt (PBE)

Data for a relaxed structure of SrLa2MgPt.

```
data_SrLa2MgPt
_chemical_formula_sum 'Sr1 La2 Mg1 Pt1'
_symmetry_space_group_name_H-M 'P 4/m m m'
_symmetry_Int_Tables_number 123
_symmetry_space_group_name_Hall '-P 4 2'
_cell_length_a 5.7428
_cell_length_b 5.7428
_cell_length_c 5.3588
_cell_angle_alpha 90.00
_cell_angle_beta 90.00
_cell_angle_gamma 90.00
loop_
_atom_site_label
_atom_site_fract_x
_atom_site_fract_y
_atom_site_fract_z
Sr1 0.0000 0.0000 0.0000
La1 0.0000 0.5000 0.5000
Mg1 0.5000 0.5000 0.0000
Pt1 0.5000 0.5000 0.5000
```

Values from the calculation:
- energy of formation from the pure elements (meV/atom) = -420
- total energy (eV per atom) = -4.25
- energy relative to the lowest polymorph listed for this composition (meV per atom) = 0
- magnetic moment (μB per formula unit) = 0.0

## CaTlCd2 (PBE)

Data for a relaxed structure of CaTlCd2.

```
data_CaTlCd2
_chemical_formula_sum 'Ca2 Tl2 Cd4'
_symmetry_space_group_name_H-M 'C 1 2/m 1'
_symmetry_Int_Tables_number 12
_symmetry_space_group_name_Hall '-C 2y'
_cell_length_a 10.9281
_cell_length_b 4.4955
_cell_length_c 4.8259
_cell_angle_alpha 90.00
_cell_angle_beta 115.98
_cell_angle_gamma 90.00
loop_
_atom_site_label
_atom_site_fract_x
_atom_site_fract_y
_atom_site_fract_z
Ca1 0.0000 0.0000 0.0000
Tl1 0.0000 0.5000 0.5000
Cd1 0.2464 0.0000 0.7465
```

Values from the calculation:
- energy of formation from the pure elements (meV/atom) = -217
- total energy (eV per atom) = -1.77
- energy relative to the lowest polymorph listed for this composition (meV per atom) = 21
- magnetic moment (μB per formula unit) = 0.0

## Li3B8C8 (PBE)

Data for a relaxed structure of Li3B8C8.

```
data_Li3B8C8
_chemical_formula_sum 'Li6 B16 C16'
_symmetry_space_group_name_H-M 'C 1 2/m 1'
_symmetry_Int_Tables_number 12
_symmetry_space_group_name_Hall '-C 2y'
_cell_length_a 15.8993
_cell_length_b 2.6802
_cell_length_c 9.3982
_cell_angle_alpha 90.00
_cell_angle_beta 109.29
_cell_angle_gamma 90.00
loop_
_atom_site_label
_atom_site_fract_x
_atom_site_fract_y
_atom_site_fract_z
Li1 0.0000 0.0000 0.0000
Li2 0.2481 0.0000 0.6441
B1 0.1119 0.0000 0.8793
B2 0.1234 0.5000 0.6365
B3 0.1261 0.5000 0.1367
B4 0.1343 0.0000 0.3924
C1 0.1107 0.5000 0.9650
C2 0.1192 0.0000 0.7189
C3 0.1328 0.0000 0.2266
C4 0.1367 0.5000 0.4801
```

Values from the calculation:
- energy of formation from the pure elements (meV/atom) = 104
- total energy (eV per atom) = -6.89
- energy relative to the lowest polymorph listed for this composition (meV per atom) = 98
- magnetic moment (μB per formula unit) = 0.0